# Al3Ni5

A PBEsol-optimized structure of Al3Ni5 (meta-GGA SCAN, Alexandria).

For the mass density, the calculation gives 6.89 g cm⁻³. For the total energy, the calculation gives -109.25 eV/cell. Its space group is No. 65. The spin magnetization is 0.0 μB/cell.

The structure in POSCAR format:
```
Al3Ni5
1.0
-1.019 2.681 -2.367
-0.998 -3.412 -3.437
-4.496 0.106 2.055
Al Ni
3 5
direct
0.500 0.779 0.221 Al
0.000 0.500 0.500 Al
0.500 0.221 0.779 Al
0.000 0.000 0.000 Ni
0.500 0.276 0.276 Ni
0.500 0.724 0.724 Ni
0.000 0.500 0.000 Ni
0.000 0.000 0.500 Ni
```